1.
The following is a DFT calculation (PBE-GGA) of crystalline LiP2RuO at its relaxed geometry.

Values from the calculation:
Fermi-level density of states in states/eV/f.u.: 2.6
Uncorrected formation energy in kJ/mol of atoms: -1.5
DFT total energy in eV for the cell shown: -27.05
Crystal system: tetragonal
Energy above the lowest structure with this stoichiometry in meV/atom: 0.0

```
data_LiP2RuO
_symmetry_space_group_name_H-M 'P 4/m m m'
_symmetry_Int_Tables_number 123
_symmetry_space_group_name_Hall '-P 4 2'
_cell_length_a 4.804
_cell_length_b 4.804
_cell_length_c 3.677
_cell_angle_alpha 90.00
_cell_angle_beta 90.00
_cell_angle_gamma 90.00
loop_
_atom_site_label
_atom_site_type_symbol
_atom_site_fract_x
_atom_site_fract_y
_atom_site_fract_z
Li1 Li 0.000 0.000 0.000
P1 P 0.000 0.500 0.500
Ru1 Ru 0.500 0.500 0.500
O1 O 0.500 0.500 0.000
```

---

2.
The following is a DFT calculation (PBE-GGA) of crystalline Zr5Mn3 at its relaxed geometry.

Values from the calculation:
Fermi-level density of states in states/eV/f.u.: 8.5
DFT total energy in eV for the cell shown: -139.96
Crystal system: hexagonal
Energy above the lowest structure with this stoichiometry in meV/atom: 0.0

```
data_Zr5Mn3
_symmetry_space_group_name_H-M 'P 63/m c m'
_symmetry_Int_Tables_number 193
_symmetry_space_group_name_Hall '-P 6c 2'
_cell_length_a 7.7864
_cell_length_b 7.7864
_cell_length_c 5.6893
_cell_angle_alpha 90.00
_cell_angle_beta 90.00
_cell_angle_gamma 120.00
loop_
_atom_site_label
_atom_site_type_symbol
_atom_site_fract_x
_atom_site_fract_y
_atom_site_fract_z
Zr1 Zr 0.0000 0.2440 0.2500
Zr2 Zr 0.3333 0.6667 0.0000
Mn1 Mn 0.0000 0.3967 0.7500
```

---

3.
The following is a DFT calculation (PBE-GGA) of crystalline Pr2Nd3Ho2 at its relaxed geometry.

Values from the calculation:
Fermi-level density of states in states/eV/f.u.: 11.1
DFT total energy in eV for the cell shown: -64.41
Crystal system: monoclinic
Energy above the lowest structure with this stoichiometry in meV/atom: 101.5

```
data_Pr2Nd3Ho2
_symmetry_space_group_name_H-M 'C 1 2/m 1'
_symmetry_Int_Tables_number 12
_cell_length_a 17.885
_cell_length_b 3.564
_cell_length_c 8.700
_cell_angle_alpha 90.00
_cell_angle_beta 119.01
_cell_angle_gamma 90.00
loop_
_symmetry_equiv_pos_as_xyz
'x,y,z'
'-x,-y,-z'
'-x,y,-z'
'x,-y,z'
'x+1/2,y+1/2,z'
'-x+1/2,-y+1/2,-z'
'-x+1/2,y+1/2,-z'
'x+1/2,-y+1/2,z'
loop_
_atom_site_label
_atom_site_type_symbol
_atom_site_fract_x
_atom_site_fract_y
_atom_site_fract_z
Pr1 Pr 0.065 0.000 0.412
Nd1 Nd 0.000 0.500 0.000
Nd2 Nd 0.213 0.500 0.295
Ho1 Ho 0.148 0.500 0.834
```

---

4.
The following is a DFT calculation (PBE-GGA) of crystalline ZrHN2 at its relaxed geometry.

Values from the calculation:
Fermi-level density of states in states/eV/f.u.: 1.6
DFT total energy in eV for the cell shown: -108.45
Crystal system: tetragonal
Energy above the lowest structure with this stoichiometry in meV/atom: 816.7

```
data_ZrHN2
_symmetry_space_group_name_H-M 'I -4 2 d'
_symmetry_Int_Tables_number 122
_symmetry_space_group_name_Hall 'I -4 2bw'
_cell_length_a 4.069
_cell_length_b 4.069
_cell_length_c 10.636
_cell_angle_alpha 90.00
_cell_angle_beta 90.00
_cell_angle_gamma 90.00
loop_
_atom_site_label
_atom_site_type_symbol
_atom_site_fract_x
_atom_site_fract_y
_atom_site_fract_z
Zr1 Zr 0.000 0.000 0.000
H1 H 0.000 0.000 0.500
N1 N 0.194 0.250 0.625
```

---

Question: What is the DFT total energy in the first record?
Answer: -27.05 eV for the cell shown

---

Question: What is the formula in the second record?
Answer: Zr5Mn3